This record from Alexandria describes crystalline KCrAsF6 at its relaxed geometry. The functional is GGA+U.

abc: 5.262 5.688 5.860
angles: 63.02 89.87 89.75
Space group P1 (No. 1)
Asymmetric unit:
1 K 0.000 0.000 0.000 x1
2 Cr 0.473 0.337 0.328 x1
3 As 0.491 0.678 0.667 x1
4 F 0.244 0.474 0.894 x1
5 F 0.256 0.045 0.588 x1
6 F 0.295 0.629 0.399 x1
7 F 0.662 0.624 0.029 x1
8 F 0.663 0.057 0.290 x1
9 F 0.671 0.380 0.684 x1



This record from Alexandria describes crystalline CrMo2AsF at its relaxed geometry. The functional is GGA+U.

abc: 5.226 5.226 4.957
angles: 90.00 90.00 90.00
Space group P4/mmm (No. 123)
Asymmetric unit:
1 Cr 0.000 0.000 0.000 x1
2 Mo 0.000 0.500 0.500 x2
3 As 0.000 0.000 0.500 x1
4 F 0.500 0.500 0.000 x1



This record from Alexandria describes crystalline CrAsN2F at its relaxed geometry. The functional is GGA+U.

Calculated values
The calculation puts the excess energy over the best structure of this formula in the dataset at 119 meV per atom.

abc: 3.817 3.817 3.997
angles: 90.00 90.00 90.00
Space group P4/mmm (No. 123)
Asymmetric unit:
1 Cr 0.000 0.000 0.000 x1
2 As 0.500 0.500 0.500 x1
3 N 0.000 0.500 0.500 x2
4 F 0.500 0.500 0.000 x1



This record from Alexandria describes crystalline CrAsN2F at its relaxed geometry. The functional is GGA+U.

Calculated values
The calculation puts the excess energy over the best structure of this formula in the dataset at 0 meV per atom.

abc: 3.962 3.962 3.767
angles: 90.00 90.00 90.00
Space group P4/mmm (No. 123)
Asymmetric unit:
1 Cr 0.000 0.000 0.000 x1
2 As 0.500 0.500 0.500 x1
3 N 0.000 0.500 0.000 x2
4 F 0.000 0.000 0.500 x1



This record from Alexandria describes crystalline NaCrAsF6 at its relaxed geometry. The functional is GGA+U.

abc: 4.522 5.568 5.879
angles: 117.82 91.67 90.21
Space group P1 (No. 1)
Asymmetric unit:
1 Na 0.000 0.000 0.000 x1
2 Cr 0.480 0.327 0.656 x1
3 As 0.521 0.659 0.320 x1
4 F 0.242 0.647 0.080 x1
5 F 0.249 0.358 0.366 x1
6 F 0.282 0.951 0.580 x1
7 F 0.693 0.315 0.957 x1
8 F 0.700 0.661 0.717 x1
9 F 0.709 0.962 0.306 x1



This record from Alexandria describes crystalline CrAsO2F at its relaxed geometry. The functional is GGA+U.

abc: 3.931 3.931 4.171
angles: 90.00 90.00 90.00
Space group P4/mmm (No. 123)
Asymmetric unit:
1 Cr 0.000 0.000 0.000 x1
2 As 0.500 0.500 0.500 x1
3 O 0.000 0.500 0.500 x2
4 F 0.500 0.500 0.000 x1



| no. | D(E_F) (states/eV/atom) | energy (Ry/atom) |
| --- | --- | --- |
| 1 | 0.000 | -0.3778 |
| 2 | 0.553 | -0.3432 |
| 3 | 0.398 | -0.4193 |
| 4 | 0.335 | -0.4281 |
| 5 | 0.000 | -0.3763 |
| 6 | 0.803 | -0.4170 |